This record from Alexandria describes a geometry-optimized CsPdO2 structure. The functional is PBE.

## Properties
SG: Fm-3m
E_form (uncorrected): 0.393 eV/atom

Cell: 4.611 4.611 4.611 Å, 60.00 60.00 60.00°
Element x y z (fractional)
Cs1 0.000 0.000 0.000
Pd1 0.500 0.500 0.500
O1 0.250 0.250 0.250
O2 0.750 0.750 0.750